1.
## In2Ni2Au (meta-GGA SCAN)

Data for a crystal of In2Ni2Au relaxed with PBEsol.

## Properties
Fermi-level density of states: 2.921 states/eV/f.u.
Electronic total energy: -168.8 eV/f.u.

Cell lengths 3.3301, 6.8677, 6.8677 Å; angles 90.00, 90.00, 90.00 degrees
Atoms (fractional coordinates):
In: 0.5000 0.3327 0.1673
In: 0.5000 0.1673 0.6673
In: 0.5000 0.8327 0.3327
In: 0.5000 0.6673 0.8327
Au: 0.0000 0.0000 0.0000
Au: 0.0000 0.5000 0.5000
Ni: 0.0000 0.3699 0.8699
Ni: 0.0000 0.6301 0.1301
Ni: 0.0000 0.1301 0.3699
Ni: 0.0000 0.8699 0.6301

***

2.
## InNiAu3 (meta-GGA SCAN)

Data for a crystal of InNiAu3 relaxed with PBEsol.

## Properties
Fermi-level density of states: 2.807 states/eV/f.u.
Electronic total energy: -254.8 eV/f.u.

Cell lengths 4.7047, 4.7047, 4.7047 Å; angles 90.00, 90.00, 90.00 degrees
Atoms (fractional coordinates):
Au: 0.5000 0.0000 0.0000
Au: 0.0000 0.0000 0.5000
Au: 0.0000 0.5000 0.0000
Ni: 0.0000 0.0000 0.0000
In: 0.5000 0.5000 0.5000

***

3.
## InNi2Au (meta-GGA SCAN)

Data for a crystal of InNi2Au relaxed with PBEsol.

## Properties
Fermi-level density of states: 1.817 states/eV/f.u.
Electronic total energy: -135.0 eV/f.u.

Cell lengths 3.1589, 3.1589, 5.6833 Å; angles 90.00, 90.00, 90.00 degrees
Atoms (fractional coordinates):
In: 0.5000 0.5000 0.5000
Au: 0.5000 0.5000 0.0000
Ni: 0.0000 0.0000 0.2489
Ni: 0.0000 0.0000 0.7511

***

4.
## InNi2Au (meta-GGA SCAN)

Data for a crystal of InNi2Au relaxed with PBEsol.

## Properties
Fermi-level density of states: 4.138 states/eV/f.u.
Electronic total energy: -134.7 eV/f.u.

Cell lengths 3.0594, 3.0594, 6.1370 Å; angles 90.00, 90.00, 90.00 degrees
Atoms (fractional coordinates):
Ni: 0.5000 0.5000 0.2235
Ni: 0.0000 0.0000 0.0281
In: 0.5000 0.5000 0.7824
Au: 0.0000 0.0000 0.4660

***

5.
## InNi2Au (meta-GGA SCAN)

Data for a crystal of InNi2Au relaxed with PBEsol.

## Properties
Fermi-level density of states: 2.295 states/eV/f.u.
Electronic total energy: -135.0 eV/f.u.

Cell lengths 3.8177, 3.8177, 4.7407 Å; angles 113.74, 113.74, 90.00 degrees
Atoms (fractional coordinates):
Ni: 0.5000 0.5000 0.0000
Ni: 0.7500 0.2500 0.5000
In: 0.2500 0.7500 0.5000
Au: 0.0000 0.0000 0.0000

***

6.
## InNi2Au (meta-GGA SCAN)

Data for a crystal of InNi2Au relaxed with PBEsol.

## Properties
Fermi-level density of states: 2.632 states/eV/f.u.
Electronic total energy: -134.7 eV/f.u.

Cell lengths 4.3364, 4.3364, 4.3364 Å; angles 60.00, 60.00, 60.00 degrees
Atoms (fractional coordinates):
Ni: 0.7500 0.7500 0.7500
Ni: 0.0000 0.0000 0.0000
Au: 0.5000 0.5000 0.5000
In: 0.2500 0.2500 0.2500

***

7.
## InNi2SbAu (meta-GGA SCAN)

Data for a crystal of InNi2SbAu relaxed with PBEsol.

## Properties
Fermi-level density of states: 3.150 states/eV/f.u.
Electronic total energy: -168.4 eV/f.u.

Cell lengths 4.7075, 4.7075, 4.9433 Å; angles 90.00, 90.00, 90.00 degrees
Last column: magnetic moment on the atom in μB.
Atoms (fractional coordinates):
Ni: 0.5000 0.0000 0.0000  1.02
Ni: 0.0000 0.5000 0.0000  1.02
In: 0.0000 0.0000 0.5000  -0.01
Sb: 0.5000 0.5000 0.5000  -0.03
Au: 0.0000 0.0000 0.0000  -0.03

***

8.
## InPtAu2O (meta-GGA SCAN)

Data for a crystal of InPtAu2O relaxed with PBEsol.

## Properties
Fermi-level density of states: 1.348 states/eV/f.u.
Electronic total energy: -245.2 eV/f.u.

Cell lengths 3.7622, 5.1143, 5.1143 Å; angles 90.00, 90.00, 90.00 degrees
Atoms (fractional coordinates):
O: 0.5000 0.0000 0.0000
Pt: 0.5000 0.5000 0.5000
In: 0.0000 0.0000 0.0000
Au: 0.0000 0.5000 0.0000
Au: 0.0000 0.0000 0.5000

***

9.
## In3OsAu (meta-GGA SCAN)

Data for a crystal of In3OsAu relaxed with PBEsol.

## Properties
Fermi-level density of states: 2.596 states/eV/f.u.
Electronic total energy: -235.3 eV/f.u.

Cell lengths 5.0607, 5.0607, 5.0607 Å; angles 90.00, 90.00, 90.00 degrees
Last column: magnetic moment on the atom in μB.
Atoms (fractional coordinates):
Au: 0.0000 0.0000 0.0000  -0.02
In: 0.0000 0.0000 0.5000  -0.02
In: 0.0000 0.5000 0.0000  -0.02
In: 0.5000 0.0000 0.0000  -0.02
Os: 0.5000 0.5000 0.5000  2.12

***

10.
## InOs3Au (meta-GGA SCAN)

Data for a crystal of InOs3Au relaxed with PBEsol.

## Properties
Fermi-level density of states: 5.211 states/eV/f.u.
Electronic total energy: -302.4 eV/f.u.

Cell lengths 4.7408, 4.7408, 4.7408 Å; angles 90.00, 90.00, 90.00 degrees
Last column: magnetic moment on the atom in μB.
Atoms (fractional coordinates):
In: 0.0000 0.0000 0.0000  -0.02
Os: 0.0000 0.5000 0.0000  0.98
Os: 0.5000 0.0000 0.0000  0.98
Os: 0.0000 0.0000 0.5000  0.98
Au: 0.5000 0.5000 0.5000  0.12

***

11.
## InOsAu (meta-GGA SCAN)

Data for a crystal of InOsAu relaxed with PBEsol.

## Properties
Fermi-level density of states: 1.908 states/eV/f.u.
Electronic total energy: -172.7 eV/f.u.

Cell lengths 2.7819, 4.0403, 5.1222 Å; angles 113.23, 105.76, 90.00 degrees
Atoms (fractional coordinates):
Os: 0.3318 0.3318 0.6637
In: 0.6709 0.6709 0.3418
Au: 0.9972 0.9972 0.9945

***

12.
## InPAuS2 (meta-GGA SCAN)

Data for a crystal of InPAuS2 relaxed with PBEsol.

## Properties
Fermi-level density of states: 2.132 states/eV/f.u.
Electronic total energy: -129.8 eV/f.u.

Cell lengths 4.3415, 4.3415, 5.4155 Å; angles 90.00, 90.00, 90.00 degrees
Atoms (fractional coordinates):
In: 0.0000 0.0000 0.5000
P: 0.0000 0.0000 0.0000
S: 0.0000 0.5000 0.0000
S: 0.5000 0.0000 0.0000
Au: 0.5000 0.5000 0.5000

***

13.
## InPbAu2 (meta-GGA SCAN)

Data for a crystal of InPbAu2 relaxed with PBEsol.

## Properties
Fermi-level density of states: 1.494 states/eV/f.u.
Electronic total energy: -248.0 eV/f.u.

Cell lengths 3.8078, 4.4119, 6.2904 Å; angles 105.11, 90.00, 115.57 degrees
Atoms (fractional coordinates):
Au: 0.2447 0.4893 0.2243
Au: 0.7553 0.5107 0.7757
Pb: 0.0000 0.0000 0.5000
In: 0.5000 0.0000 0.0000

***

14.
## InPbAu2 (meta-GGA SCAN)

Data for a crystal of InPbAu2 relaxed with PBEsol.

## Properties
Fermi-level density of states: 2.043 states/eV/f.u.
Electronic total energy: -247.7 eV/f.u.

Cell lengths 3.3640, 3.5021, 7.2462 Å; angles 90.00, 89.93, 90.00 degrees
Atoms (fractional coordinates):
Au: 0.9996 0.0000 0.2219
Au: 0.0004 0.0000 0.7781
In: 0.5000 0.5000 0.0000
Pb: 0.5000 0.5000 0.5000

***

15.
## InPbAu2 (meta-GGA SCAN)

Data for a crystal of InPbAu2 relaxed with PBEsol.

## Properties
Fermi-level density of states: 1.397 states/eV/f.u.
Electronic total energy: -248.1 eV/f.u.

Cell lengths 3.7488, 4.4318, 5.5695 Å; angles 90.00, 109.15, 90.00 degrees
Atoms (fractional coordinates):
Pb: 0.6047 0.5000 0.8350
Au: 0.3409 0.5000 0.2974
Au: 0.1602 0.0000 0.9554
In: 0.8942 0.0000 0.4122

***

16.
## InPbAu2 (meta-GGA SCAN)

Data for a crystal of InPbAu2 relaxed with PBEsol.

## Properties
Fermi-level density of states: 1.299 states/eV/f.u.
Electronic total energy: -247.6 eV/f.u.

Cell lengths 3.1272, 5.3039, 6.0510 Å; angles 115.99, 104.98, 90.00 degrees
Atoms (fractional coordinates):
Au: 0.7412 0.2412 0.4824
Au: 0.0173 0.0173 0.0345
Pb: 0.2654 0.7654 0.5308
In: 0.4761 0.4761 0.9522

***

17.
## InPbAu (meta-GGA SCAN)

Data for a crystal of InPbAu relaxed with PBEsol.

## Properties
Fermi-level density of states: 1.201 states/eV/f.u.
Electronic total energy: -178.6 eV/f.u.

Cell lengths 3.9689, 4.6333, 4.6333 Å; angles 120.00, 90.00, 90.00 degrees
Atoms (fractional coordinates):
In: 0.7643 0.3333 0.6667
Au: 0.9373 0.0000 0.0000
Pb: 0.2984 0.6667 0.3333

***

18.
## In2PbAu2 (meta-GGA SCAN)

Data for a crystal of In2PbAu2 relaxed with PBEsol.

## Properties
Fermi-level density of states: 2.429 states/eV/f.u.
Electronic total energy: -281.6 eV/f.u.

Cell lengths 4.3038, 4.3038, 6.9406 Å; angles 108.06, 108.06, 90.00 degrees
Atoms (fractional coordinates):
In: 0.7500 0.2500 0.5000
In: 0.2500 0.7500 0.5000
Pb: 0.0000 0.0000 0.0000
Au: 0.3927 0.3927 0.7854
Au: 0.6073 0.6073 0.2146

***

19.
## InPbAu2 (meta-GGA SCAN)

Data for a crystal of InPbAu2 relaxed with PBEsol.

## Properties
Fermi-level density of states: 1.452 states/eV/f.u.
Electronic total energy: -248.1 eV/f.u.

Cell lengths 3.9416, 3.9416, 7.3077 Å; angles 74.35, 74.35, 60.00 degrees
Atoms (fractional coordinates):
Au: 0.7553 0.7553 0.7342
Au: 0.2447 0.2447 0.2658
Pb: 0.0000 0.0000 0.0000
In: 0.5000 0.5000 0.5000

***

20.
## InPd2Au2 (meta-GGA SCAN)

Data for a crystal of InPd2Au2 relaxed with PBEsol.

## Properties
Fermi-level density of states: 2.079 states/eV/f.u.
Electronic total energy: -237.6 eV/f.u.

Cell lengths 3.7068, 3.7068, 7.1933 Å; angles 104.93, 104.93, 90.00 degrees
Atoms (fractional coordinates):
Au: 0.7500 0.2500 0.5000
Au: 0.2500 0.7500 0.5000
In: 0.0000 0.0000 0.0000
Pd: 0.5964 0.5964 0.1928
Pd: 0.4036 0.4036 0.8072

***

21.
## PrIn4Au2 (meta-GGA SCAN)

Data for a crystal of PrIn4Au2 relaxed with PBEsol.

## Properties
Fermi-level density of states: 1.944 states/eV/f.u.
Electronic total energy: -319.2 eV/f.u.

Cell lengths 4.6308, 7.3643, 18.4274 Å; angles 90.00, 90.00, 90.00 degrees
Atoms (fractional coordinates):
In: 0.2500 0.6415 0.5350
In: 0.2500 0.7666 0.6880
In: 0.2500 0.3227 0.1846
In: 0.7500 0.6773 0.8154
In: 0.2500 0.5174 0.9333
In: 0.7500 0.3585 0.4650
In: 0.7500 0.2666 0.8120
In: 0.7500 0.2334 0.3120
In: 0.2500 0.7334 0.1880
In: 0.7500 0.4826 0.0667
In: 0.2500 0.1773 0.6846
In: 0.7500 0.0174 0.5667
In: 0.2500 0.9826 0.4333
In: 0.7500 0.1415 0.9650
In: 0.2500 0.8585 0.0350
In: 0.7500 0.8227 0.3154
Pr: 0.7500 0.0225 0.1418
Pr: 0.7500 0.4775 0.6418
Pr: 0.2500 0.9775 0.8582
Pr: 0.2500 0.5225 0.3582
Au: 0.7500 0.7552 0.9624
Au: 0.7500 0.9684 0.7172
Au: 0.2500 0.2448 0.0376
Au: 0.2500 0.0316 0.2828
Au: 0.2500 0.4684 0.7828
Au: 0.7500 0.7448 0.4624
Au: 0.2500 0.2552 0.5376
Au: 0.7500 0.5316 0.2172

***

22.
## Pr2InAu2 (meta-GGA SCAN)

Data for a crystal of Pr2InAu2 relaxed with PBEsol.

## Properties
Fermi-level density of states: 3.464 states/eV/f.u.
Electronic total energy: -263.3 eV/f.u.

Cell lengths 3.8956, 7.9907, 7.9907 Å; angles 90.00, 90.00, 90.00 degrees
Atoms (fractional coordinates):
Pr: 0.5000 0.8266 0.3266
Pr: 0.5000 0.6734 0.8266
Pr: 0.5000 0.1734 0.6734
Pr: 0.5000 0.3266 0.1734
Au: 0.0000 0.8733 0.6267
Au: 0.0000 0.3733 0.8733
Au: 0.0000 0.6267 0.1267
Au: 0.0000 0.1267 0.3733
In: 0.0000 0.5000 0.5000
In: 0.0000 0.0000 0.0000

***

23.
## In2PtAu (meta-GGA SCAN)

Data for a crystal of In2PtAu relaxed with PBEsol.

## Properties
Fermi-level density of states: 1.397 states/eV/f.u.
Electronic total energy: -207.1 eV/f.u.

Cell lengths 3.4486, 4.6064, 4.6064 Å; angles 89.96, 90.00, 90.00 degrees
Atoms (fractional coordinates):
In: 0.0000 0.5000 0.0000
In: 0.0000 0.0000 0.5000
Pt: 0.5000 0.0000 0.0000
Au: 0.5000 0.5000 0.5000

***

24.
## PuInAu2 (meta-GGA SCAN)

Data for a crystal of PuInAu2 relaxed with PBEsol.

## Properties
Fermi-level density of states: 13.947 states/eV/f.u.
Electronic total energy: -283.3 eV/f.u.

Cell lengths 4.9012, 4.9012, 4.9012 Å; angles 60.00, 60.00, 60.00 degrees
Last column: magnetic moment on the atom in μB.
Atoms (fractional coordinates):
Au: 0.7500 0.7500 0.7500  0.01
Au: 0.2500 0.2500 0.2500  0.01
In: 0.0000 0.0000 0.0000  0.01
Pu: 0.5000 0.5000 0.5000  5.20

***

25.
## RbIn2Au2 (meta-GGA SCAN)

Data for a crystal of RbIn2Au2 relaxed with PBEsol.

## Properties
Fermi-level density of states: 2.010 states/eV/f.u.
Electronic total energy: -227.6 eV/f.u.

Cell lengths 4.7684, 4.7684, 6.6405 Å; angles 111.04, 111.04, 90.00 degrees
Atoms (fractional coordinates):
In: 0.2500 0.7500 0.5000
In: 0.7500 0.2500 0.5000
Au: 0.6196 0.6196 0.2392
Au: 0.3804 0.3804 0.7608
Rb: 0.0000 0.0000 0.0000

***

26.
## RbIn6Au4 (meta-GGA SCAN)

Data for a crystal of RbIn6Au4 relaxed with PBEsol.

## Properties
Fermi-level density of states: 3.808 states/eV/f.u.
Electronic total energy: -501.6 eV/f.u.

Cell lengths 4.4498, 8.0818, 8.0818 Å; angles 120.00, 90.00, 90.00 degrees
Atoms (fractional coordinates):
In: 0.5000 0.8035 0.1965
In: 0.5000 0.3930 0.1965
In: 0.0000 0.4657 0.9315
In: 0.0000 0.0685 0.5343
In: 0.0000 0.4657 0.5343
In: 0.5000 0.8035 0.6070
Au: 0.5000 0.2069 0.7931
Au: 0.5000 0.2069 0.4138
Au: 0.5000 0.5862 0.7931
Au: 0.0000 0.6667 0.3333
Rb: 0.0000 0.0000 0.0000

***

27.
## Rb2InAu2 (meta-GGA SCAN)

Data for a crystal of Rb2InAu2 relaxed with PBEsol.

## Properties
Fermi-level density of states: 1.695 states/eV/f.u.
Electronic total energy: -214.7 eV/f.u.

Cell lengths 5.4046, 7.4055, 7.4055 Å; angles 90.00, 90.00, 90.00 degrees
Atoms (fractional coordinates):
In: 0.0000 0.0000 0.0000
In: 0.0000 0.5000 0.5000
Au: 0.0000 0.3656 0.8656
Au: 0.0000 0.1344 0.3656
Au: 0.0000 0.8656 0.6344
Au: 0.0000 0.6344 0.1344
Rb: 0.5000 0.1707 0.6707
Rb: 0.5000 0.8293 0.3293
Rb: 0.5000 0.3293 0.1707
Rb: 0.5000 0.6707 0.8293